The following is a GGA-PBE calculation of HoHfTl after structural relaxation, from OQMD via LeMat-Bulk.

a b c (Å): 6.990 6.990 6.990
angles (deg): 90.00 90.00 90.00
Space group F-43m (No. 216)
One atom of each set of equivalent atoms:
Ho 0.000 0.000 0.000 (multiplicity 4)
Hf 0.000 0.000 0.500 (multiplicity 4)
Tl 0.250 0.250 0.750 (multiplicity 4)

Summary:
ρ ... 10.653 g/cm3
Calculated total energy ... -5.28 eV/atom
Polymorph energy (0 for the lowest one) ... 0 meV per atom

---

The following is a GGA-PBE calculation of NiBPb after structural relaxation, from OQMD via LeMat-Bulk.

a b c (Å): 5.645 5.645 5.645
angles (deg): 90.00 90.00 90.00
Space group F-43m (No. 216)
One atom of each set of equivalent atoms:
Ni 0.000 0.000 0.000 (multiplicity 4)
B 0.250 0.250 0.250 (multiplicity 4)
Pb 0.000 0.000 0.500 (multiplicity 4)

Summary:
ρ ... 10.219 g/cm3
Calculated total energy ... -4.51 eV/atom
Polymorph energy (0 for the lowest one) ... 0 meV per atom

---

The following is a GGA-PBE calculation of GdZnInSe3 after structural relaxation, from OQMD via LeMat-Bulk.

a b c (Å): 11.724 4.269 12.402
angles (deg): 90.00 90.00 90.00
Space group Pnma (No. 62)
One atom of each set of equivalent atoms:
Gd 0.022 0.250 0.177 (multiplicity 4)
Zn 0.248 0.750 0.302 (multiplicity 4)
In 0.170 0.250 0.504 (multiplicity 4)
Se 0.041 0.750 0.339 (multiplicity 4)
Se 0.100 0.250 0.939 (multiplicity 4)
Se 0.223 0.750 0.695 (multiplicity 4)

Summary:
ρ ... 6.146 g/cm3
Calculated total energy ... -4.22 eV/atom
Polymorph energy (0 for the lowest one) ... 43 meV per atom

---

The following is a GGA-PBE calculation of HfSnAsO after structural relaxation, from OQMD via LeMat-Bulk.

a b c (Å): 3.870 8.420 6.124
angles (deg): 90.00 90.00 90.00
Space group Pmc2_1 (No. 26)
One atom of each set of equivalent atoms:
Hf 0.000 0.141 0.000 (multiplicity 2)
Sn 0.500 0.329 0.470 (multiplicity 2)
As 0.500 0.345 0.937 (multiplicity 2)
O 0.000 0.003 0.255 (multiplicity 2)

Summary:
ρ ... 6.459 g/cm3
Calculated total energy ... -7.09 eV/atom
Polymorph energy (0 for the lowest one) ... 0 meV per atom

---

The following is a GGA-PBE calculation of Y2HfSi after structural relaxation, from OQMD via LeMat-Bulk.

a b c (Å): 7.123 7.123 7.123
angles (deg): 90.00 90.00 90.00
Space group F-43m (No. 216)
One atom of each set of equivalent atoms:
Y 0.000 0.000 0.000 (multiplicity 4)
Y 0.250 0.250 0.250 (multiplicity 4)
Hf 0.250 0.250 0.750 (multiplicity 4)
Si 0.000 0.000 0.500 (multiplicity 4)

Summary:
ρ ... 7.065 g/cm3
Calculated total energy ... -7.00 eV/atom

---

The following is a GGA-PBE calculation of Li4Al2PdAu after structural relaxation, from OQMD via LeMat-Bulk.

a b c (Å): 4.336 4.336 6.121
angles (deg): 90.00 90.00 90.00
Space group P-4m2 (No. 115)
One atom of each set of equivalent atoms:
Li 0.000 0.000 0.000 (multiplicity 1)
Li 0.000 0.500 0.748 (multiplicity 2)
Li 0.500 0.500 0.500 (multiplicity 1)
Al 0.000 0.500 0.261 (multiplicity 2)
Pd 0.000 0.000 0.500 (multiplicity 1)
Au 0.500 0.500 0.000 (multiplicity 1)

Summary:
ρ ... 5.557 g/cm3
Calculated total energy ... -3.47 eV/atom

---

The following is a GGA-PBE calculation of NdBOs after structural relaxation, from OQMD via LeMat-Bulk.

a b c (Å): 5.967 5.967 5.967
angles (deg): 90.00 90.00 90.00
Space group F-43m (No. 216)
One atom of each set of equivalent atoms:
Nd 0.000 0.000 0.000 (multiplicity 4)
B 0.250 0.250 0.250 (multiplicity 4)
Os 0.000 0.000 0.500 (multiplicity 4)

Summary:
ρ ... 10.797 g/cm3
Calculated total energy ... -7.06 eV/atom

---

The following is a GGA-PBE calculation of InFe2 after structural relaxation, from OQMD via LeMat-Bulk.

a b c (Å): 7.055 7.055 7.055
angles (deg): 90.00 90.00 90.00
Space group Fd-3m (No. 227, origin choice 2)
One atom of each set of equivalent atoms:
In 0.125 0.125 0.125 (multiplicity 8)
Fe 0.000 0.000 0.500 (multiplicity 16)

Summary:
ρ ... 8.570 g/cm3
Calculated total energy ... -6.30 eV/atom

---

The following is a GGA-PBE calculation of In2PdI6Br2 after structural relaxation, from OQMD via LeMat-Bulk.

a b c (Å): 13.796 8.809 8.085
angles (deg): 90.00 94.57 90.00
Space group C2/m (No. 12)
One atom of each set of equivalent atoms:
In 0.219 0.000 0.336 (multiplicity 4)
Pd 0.000 0.000 0.000 (multiplicity 2)
I 0.112 0.217 0.137 (multiplicity 8)
I 0.173 0.000 0.655 (multiplicity 4)
Br 0.103 0.500 0.706 (multiplicity 4)

Summary:
ρ ... 4.264 g/cm3
Calculated total energy ... -2.59 eV/atom

---

The following is a GGA-PBE calculation of HfCdAsO after structural relaxation, from OQMD via LeMat-Bulk.

a b c (Å): 3.652 6.719 6.352
angles (deg): 90.00 90.00 90.00
Space group Pmc2_1 (No. 26)
One atom of each set of equivalent atoms:
Hf 0.000 0.012 0.000 (multiplicity 2)
Cd 0.500 0.415 0.368 (multiplicity 2)
As 0.500 0.207 0.746 (multiplicity 2)
O 0.000 0.197 0.256 (multiplicity 2)

Summary:
ρ ... 8.136 g/cm3
Calculated total energy ... -6.34 eV/atom
Polymorph energy (0 for the lowest one) ... 0 meV per atom

---

The following is a GGA-PBE calculation of Nd2DyTl2Cd4 after structural relaxation, from OQMD via LeMat-Bulk.

a b c (Å): 4.644 13.175 7.719
angles (deg): 90.00 90.00 90.00
Space group Amm2 (No. 38)
One atom of each set of equivalent atoms:
Nd 0.000 0.211 0.000 (multiplicity 4)
Dy 0.000 0.000 0.636 (multiplicity 2)
Tl 0.500 0.164 0.712 (multiplicity 4)
Cd 0.000 0.000 0.221 (multiplicity 2)
Cd 0.500 0.000 0.977 (multiplicity 2)
Cd 0.500 0.120 0.333 (multiplicity 4)

Summary:
ρ ... 9.207 g/cm3
Calculated total energy ... -2.85 eV/atom

---

The following is a GGA-PBE calculation of NaHgAsPt after structural relaxation, from OQMD via LeMat-Bulk.

a b c (Å): 6.695 6.695 6.695
angles (deg): 90.00 90.00 90.00
Space group F-43m (No. 216)
One atom of each set of equivalent atoms:
Na 0.000 0.000 0.000 (multiplicity 4)
Hg 0.250 0.250 0.750 (multiplicity 4)
As 0.250 0.250 0.250 (multiplicity 4)
Pt 0.000 0.000 0.500 (multiplicity 4)

Summary:
ρ ... 10.925 g/cm3
Calculated total energy ... -3.16 eV/atom
Polymorph energy (0 for the lowest one) ... 0 meV per atom